Lu3ScV4O12 after structural relaxation, computed with GGA-PBEsol.

Unit cell a=5.081 b=5.491 c=7.433 alpha=90.00 beta=90.00 gamma=90.05
Fractional positions:
Lu: 0.979 0.923 0.000
Lu: 0.476 0.574 0.500
Lu: 0.024 0.075 0.500
Sc: 0.526 0.427 0.000
V: 0.500 0.001 0.752
V: 0.001 0.498 0.247
V: 0.500 0.001 0.248
V: 0.001 0.498 0.753
O: 0.813 0.194 0.813
O: 0.682 0.688 0.183
O: 0.184 0.807 0.309
O: 0.311 0.304 0.685
O: 0.184 0.807 0.691
O: 0.311 0.304 0.315
O: 0.813 0.194 0.187
O: 0.682 0.688 0.817
O: 0.374 0.063 0.000
O: 0.143 0.549 0.000
O: 0.623 0.950 0.500
O: 0.875 0.453 0.500

Calculated values
total magnetization: 0.40 μB/atom
energy relative to the elements, uncorrected: -59.9 eV/f.u.
theoretical density: 7.731 g/cm³